Entry 1:
A plane-wave DFT calculation with PBE was carried out for a relaxed structure of Pr2AsPt3.

Calculated values
energy above the most stable polymorph in this dataset = 0.0 meV/atom
space group = Fmmm, No. 69
energy of formation = -1.086 eV/atom
calculated total energy = -6.475 eV/atom

```
12
Lattice="0.000 4.428 7.693 3.970 0.000 7.693 3.970 4.428 0.000" Properties=species:S:1:pos:R:3 pbc="T T T"
Pr 6.047 4.428 7.693
Pr 1.985 2.214 3.846
Pr 5.955 6.642 11.539
Pr 1.893 4.428 7.693
As 3.970 4.428 5.146
As 3.970 4.428 10.239
Pt 3.970 2.272 6.379
Pt 3.970 4.428 2.640
Pt 3.970 2.272 9.006
Pt 3.970 6.584 6.379
Pt 3.970 4.428 12.746
Pt 3.970 6.584 9.006
```

Entry 2:
A plane-wave DFT calculation with PBE was carried out for a relaxed structure of Pr2AsPt6.

Calculated values
space group = C2/m, No. 12
energy of formation = -0.852 eV/atom
calculated total energy = -6.458 eV/atom

```
9
Lattice="4.953 -2.867 0.000 4.953 2.867 0.000 -1.464 0.000 6.116" Properties=species:S:1:pos:R:3 pbc="T T T"
Pr 0.880 0.000 2.150
Pr 7.563 0.000 3.966
As 4.221 0.000 3.058
Pt 3.319 1.467 1.133
Pt 2.567 0.000 4.935
Pt 5.123 1.467 4.983
Pt 3.319 -1.467 1.133
Pt 5.875 0.000 1.181
Pt 5.123 -1.467 4.983
```

Entry 3:
A plane-wave DFT calculation with PBE was carried out for a relaxed structure of PrAsPt2.

Calculated values
space group = Cmcm, No. 63
energy of formation = -0.908 eV/atom
calculated total energy = -6.286 eV/atom

```
8
Lattice="2.138 -5.220 0.000 2.138 5.220 0.000 0.000 0.000 7.115" Properties=species:S:1:pos:R:3 pbc="T T T"
Pr 2.138 4.629 5.337
Pr 2.138 -4.629 1.779
As 2.138 2.817 1.779
As 2.138 -2.817 5.337
Pt 2.138 1.429 3.934
Pt 2.138 1.429 6.739
Pt 2.138 -1.429 0.376
Pt 2.138 -1.429 3.182
```

Entry 4:
A plane-wave DFT calculation with PBE was carried out for a relaxed structure of PrAsPt3.

Calculated values
space group = I4mm, No. 107
energy of formation = -0.844 eV/atom
calculated total energy = -6.355 eV/atom

```
5
Lattice="-2.071 2.071 5.658 2.071 -2.071 5.658 2.071 2.071 -5.658" Properties=species:S:1:pos:R:3 pbc="T T T"
Pr 0.000 0.000 0.000
As 0.000 0.000 4.212
Pt 2.071 0.000 2.822
Pt 0.000 0.000 6.610
Pt 0.000 2.071 2.822
```

Entry 5:
A plane-wave DFT calculation with PBE was carried out for a relaxed structure of Pr2PuAs4Pt3.

Calculated values
space group = P-4m2, No. 115
energy of formation = -0.843 eV/atom
calculated total energy = -6.904 eV/atom

```
10
Lattice="4.474 0.000 0.000 0.000 4.474 0.000 0.000 0.000 10.852" Properties=species:S:1:pos:R:3 pbc="T T T"
Pr 0.000 2.237 2.455
Pr 2.237 0.000 8.396
Pu 0.000 0.000 5.426
As 0.000 0.000 0.000
As 0.000 2.237 7.140
As 2.237 0.000 3.712
As 2.237 2.237 0.000
Pt 0.000 2.237 9.642
Pt 2.237 0.000 1.210
Pt 2.237 2.237 5.426
```

Entry 6:
A plane-wave DFT calculation with PBE was carried out for a relaxed structure of PrAsPtRh.

Calculated values
space group = Amm2, No. 38
energy of formation = -0.529 eV/atom
calculated total energy = -6.235 eV/atom

```
4
Lattice="4.281 0.000 0.000 0.000 2.048 4.742 0.000 -2.048 4.742" Properties=species:S:1:pos:R:3 pbc="T T T"
Pr 0.000 0.000 0.000
As 2.141 0.000 3.879
Pt 0.000 0.000 2.687
Rh 2.141 0.000 6.542
```